[1]
MnIr2Au: relaxed, GGA-PBE.

Energy relative to the elements = 14 kJ/mol of atoms
VASP energy = -7.40 eV per atom
Crystal system = tetragonal
Theoretical density = 17.68 g cm⁻³
Total magnetic moment = 4.76 Bohr magnetons per cell

abc: 3.931 3.931 7.737
angles: 90.00 90.00 90.00
Space group I4/mmm (No. 139)
Unique sites:
1 Mn 0.000 0.000 0.000 x2
2 Ir 0.000 0.500 0.250 x4
3 Au 0.000 0.000 0.500 x2

[2]
Mn4IrAu: relaxed, GGA-PBE.

Energy relative to the elements = 19 kJ/mol of atoms
VASP energy = -7.94 eV per atom
Crystal system = cubic
Theoretical density = 13.12 g cm⁻³
Total magnetic moment = 24.39 Bohr magnetons per cell

abc: 6.756 6.756 6.756
angles: 90.00 90.00 90.00
Space group F-43m (No. 216)
Unique sites:
1 Mn 0.125 0.125 0.125 x16
2 Ir 0.250 0.250 0.750 x4
3 Au 0.000 0.000 0.500 x4

[3]
MnIrAu2: relaxed, GGA-PBE.

Energy relative to the elements = 12 kJ/mol of atoms
VASP energy = -6.02 eV per atom
Crystal system = monoclinic
Theoretical density = 16.39 g cm⁻³
Total magnetic moment = 8.12 Bohr magnetons per cell

abc: 9.382 2.953 4.835
angles: 90.00 104.06 90.00
Space group Cm (No. 8)
Unique sites:
1 Mn 0.000 0.000 0.000 x2
2 Ir 0.229 0.500 0.226 x2
3 Au 0.249 0.000 0.744 x2
4 Au 0.486 0.000 0.483 x2

[4]
MnIr2Au: relaxed, GGA-PBE.

Energy relative to the elements = 49 kJ/mol of atoms
VASP energy = -7.03 eV per atom
Crystal system = tetragonal
Theoretical density = 16.32 g cm⁻³
Total magnetic moment = 8.03 Bohr magnetons per cell

abc: 7.058 7.058 5.198
angles: 90.00 90.00 90.00
Space group I-42d (No. 122)
Unique sites:
1 Mn 0.000 0.000 0.000 x4
2 Ir 0.204 0.250 0.125 x8
3 Au 0.000 0.000 0.500 x4